Here is crystalline V9Sb7O32 at its relaxed geometry from the Alexandria database. Energies are from GGA+U.

Output
Calculated total energy   -340.0 eV per formula unit

Lattice parameters (Å, degrees): 4.668 7.803 15.348 102.43 90.07 90.01
Atoms (fractional coordinates):
V1 0.000 0.000 0.000
V2 0.005 0.750 0.247
V3 0.009 0.126 0.371
V4 0.494 0.562 0.688
V5 0.494 0.688 0.062
V6 0.506 0.312 0.938
V7 0.506 0.438 0.312
V8 0.991 0.874 0.629
V9 0.995 0.250 0.753
Sb1 0.000 0.500 0.500
Sb2 0.005 0.380 0.123
Sb3 0.494 0.940 0.812
Sb4 0.499 0.186 0.567
Sb5 0.501 0.814 0.433
Sb6 0.506 0.060 0.188
Sb7 0.995 0.620 0.877
O1 0.186 0.634 0.610
O2 0.188 0.761 0.985
O3 0.192 0.516 0.237
O4 0.192 0.885 0.360
O5 0.195 0.021 0.736
O6 0.196 0.385 0.858
O7 0.199 0.142 0.114
O8 0.201 0.265 0.488
O9 0.291 0.829 0.177
O10 0.296 0.704 0.799
O11 0.297 0.321 0.674
O12 0.305 0.948 0.547
O13 0.308 0.580 0.425
O14 0.309 0.454 0.050
O15 0.311 0.074 0.923
O16 0.315 0.198 0.298
O17 0.685 0.802 0.702
O18 0.689 0.926 0.077
O19 0.691 0.546 0.950
O20 0.692 0.420 0.575
O21 0.695 0.052 0.453
O22 0.703 0.679 0.326
O23 0.704 0.296 0.201
O24 0.709 0.171 0.823
O25 0.799 0.735 0.512
O26 0.801 0.858 0.886
O27 0.804 0.615 0.142
O28 0.805 0.979 0.264
O29 0.808 0.115 0.640
O30 0.808 0.484 0.763
O31 0.812 0.239 0.015
O32 0.814 0.366 0.390